Material: PuHfCd2
Method: DFT, GGA-PBE
State: relaxed

Cell: 3.0916 3.0916 9.5143 Å, 90.00 90.00 90.00°
With the nearest neighbours (Å) after each atom.
Sites, in units of the cell vectors:
Pu  0.0000  0.0000  0.0000  4 Pu 3.09, 8 Cd 3.35
Hf  0.0000  0.0000  0.5000  4 Hf 3.09, 8 Cd 3.11
Cd  0.5000  0.5000  0.2669  4 Cd 3.09, 4 Hf 3.11, 4 Pu 3.35
Cd  0.5000  0.5000  0.7331  4 Cd 3.09, 4 Hf 3.11, 4 Pu 3.35

Calculated values
calculated total energy = -6.53 eV/atom
formation energy = 1.4 kJ/mol of formula units
magnetization = 5.91 μB per formula unit

Material: PuHfCd4
Method: DFT, GGA-PBE
State: relaxed

Cell: 5.7964 5.7964 5.7964 Å, 60.00 60.00 60.00°
With the nearest neighbours (Å) after each atom.
Sites, in units of the cell vectors:
Pu  0.0000  0.0000  0.0000  12 Cd 3.40, 4 Hf 3.55
Hf  0.7500  0.7500  0.7500  12 Cd 3.40, 4 Pu 3.55
Cd  0.3755  0.3755  0.3755  6 Cd 2.89-2.91
Cd  0.3755  0.3755  0.8736  6 Cd 2.89-2.91
Cd  0.3755  0.8736  0.3755  6 Cd 2.89-2.91
Cd  0.8736  0.3755  0.3755  6 Cd 2.89-2.91

Calculated values
calculated total energy = -4.56 eV/atom
formation energy = 56.3 kJ/mol of formula units
magnetization = 6.71 μB per formula unit

Material: Pu2HfCd6
Method: DFT, GGA-PBE
State: relaxed

Cell: 8.8556 8.8556 3.0408 Å, 90.00 90.00 120.00°
With the nearest neighbours (Å) after each atom.
Sites, in units of the cell vectors:
Pu  0.3333  0.6667  0.0000  2 Pu 3.04, 12 Cd 3.35
Pu  0.6667  0.3333  0.0000  2 Pu 3.04, 12 Cd 3.35
Hf  0.0000  0.0000  0.0000  2 Hf 3.04, 12 Cd 3.26
Cd  0.0000  0.3260  0.5000  5 Cd 2.89-3.08
Cd  0.0000  0.6740  0.5000  5 Cd 2.89-3.08
Cd  0.3260  0.0000  0.5000  5 Cd 2.89-3.08
Cd  0.3260  0.3260  0.5000  5 Cd 2.89-3.08
Cd  0.6740  0.0000  0.5000  5 Cd 2.89-3.08
Cd  0.6740  0.6740  0.5000  5 Cd 2.89-3.08

Calculated values
calculated total energy = -4.95 eV/atom
formation energy = -42.8 kJ/mol of formula units
magnetization = 11.89 μB per formula unit

Material: Rb2HfCd
Method: DFT, GGA-PBE
State: relaxed

Cell: 9.5524 9.5524 9.5524 Å, 94.93 94.93 145.90°
With the nearest neighbours (Å) after each atom.
Sites, in units of the cell vectors:
Rb  0.3750  0.2350  0.3600  2 Cd 3.60
Rb  0.7650  0.1250  0.1400  2 Cd 3.60
Rb  0.8750  0.0150  0.6400  2 Cd 3.60
Rb  0.9850  0.6250  0.8600  2 Cd 3.60
Hf  0.2500  0.7500  0.5000  2 Cd 2.80
Hf  0.5000  0.5000  0.0000  2 Cd 2.80
Cd  0.0000  0.0000  0.0000  2 Hf 2.80
Cd  0.7500  0.2500  0.5000  2 Hf 2.80

Calculated values
calculated total energy = -2.17 eV/atom
formation energy = 397.3 kJ/mol of formula units
magnetization = 0.77 μB per formula unit

Material: Rb2HfCd4
Method: DFT, GGA-PBE
State: relaxed

Cell: 10.1990 10.1990 10.1990 Å, 147.30 147.30 46.92°
With the nearest neighbours (Å) after each atom.
Sites, in units of the cell vectors:
Rb  0.1338  0.1338  0.0000  9 Cd 3.81-4.08
Rb  0.8662  0.8662  0.0000  9 Cd 3.81-4.08
Hf  0.5000  0.5000  0.0000  6 Cd 2.87-2.89
Cd  0.0000  0.5000  0.5000  2 Hf 2.87
Cd  0.3455  0.3455  0.0000  1 Hf 2.89
Cd  0.5000  0.0000  0.5000  2 Hf 2.87
Cd  0.6545  0.6545  0.0000  1 Hf 2.89

Calculated values
calculated total energy = -1.86 eV/atom
formation energy = 242.6 kJ/mol of formula units
magnetization = 1.23 μB per formula unit

Material: Rb3HfCd
Method: DFT, GGA-PBE
State: relaxed

Cell: 6.8514 6.8514 6.8514 Å, 90.00 90.00 90.00°
With the nearest neighbours (Å) after each atom.
Sites, in units of the cell vectors:
Rb  0.0000  0.0000  0.5000  2 Cd 3.43
Rb  0.0000  0.5000  0.0000  2 Cd 3.43
Rb  0.5000  0.0000  0.0000  2 Cd 3.43
Hf  0.5000  0.5000  0.5000  12 Rb 4.84
Cd  0.0000  0.0000  0.0000  6 Rb 3.43

Calculated values
calculated total energy = -1.61 eV/atom
formation energy = 549.8 kJ/mol of formula units
E above lowest polymorph = 0.000 eV per atom
magnetization = 3.05 μB per formula unit